(1)
A relaxed Zn2SbC crystal. Source: Alexandria, functional PBE.

Lattice parameters (Å, degrees): 4.5595 4.5595 4.5595 60.00 60.00 60.00
Closest atoms and distances in Å follow each position.
Atoms (fractional coordinates):
C1 0.0000 0.0000 0.0000  8 Zn 2.79
Zn1 0.7500 0.7500 0.7500  4 Sb 2.79, 4 C 2.79
Zn2 0.2500 0.2500 0.2500  4 Sb 2.79, 4 C 2.79
Sb1 0.5000 0.5000 0.5000  8 Zn 2.79

- calculated volume (Å³/atom) = 16.76
- mass density (g cm⁻³) = 6.555
- raw formation energy (eV per atom) = 1.408
- energy relative to the lowest polymorph listed for this composition (eV/atom) = 0.666

(2)
A relaxed ZnSbC3 crystal. Source: Alexandria, functional PBE.

Lattice parameters (Å, degrees): 4.0445 4.0445 4.0445 90.00 90.00 90.00
Closest atoms and distances in Å follow each position.
Atoms (fractional coordinates):
C1 0.5000 0.0000 0.0000  2 Zn 2.02
C2 0.0000 0.0000 0.5000  2 Zn 2.02
C3 0.0000 0.5000 0.0000  2 Zn 2.02
Zn1 0.0000 0.0000 0.0000  6 C 2.02
Sb1 0.5000 0.5000 0.5000  12 C 2.86

- calculated volume (Å³/atom) = 13.23
- mass density (g cm⁻³) = 5.602
- raw formation energy (eV per atom) = 2.726
- energy relative to the lowest polymorph listed for this composition (eV/atom) = 0.000

(3)
A relaxed ZnSb3C crystal. Source: Alexandria, functional PBE.

Lattice parameters (Å, degrees): 4.7914 4.7914 4.7914 90.00 90.00 90.00
Closest atoms and distances in Å follow each position.
Atoms (fractional coordinates):
C1 0.0000 0.0000 0.0000  6 Sb 2.40
Sb1 0.5000 0.0000 0.0000  2 C 2.40
Sb2 0.0000 0.0000 0.5000  2 C 2.40
Sb3 0.0000 0.5000 0.0000  2 C 2.40
Zn1 0.5000 0.5000 0.5000  12 Sb 3.39

- calculated volume (Å³/atom) = 22.00
- mass density (g cm⁻³) = 6.683
- raw formation energy (eV per atom) = 0.982
- energy relative to the lowest polymorph listed for this composition (eV/atom) = 0.000

(4)
A relaxed ZnSb3C crystal. Source: Alexandria, functional PBE.

Lattice parameters (Å, degrees): 5.1814 5.1814 5.1814 90.00 90.00 90.00
Closest atoms and distances in Å follow each position.
Atoms (fractional coordinates):
C1 0.5000 0.5000 0.5000  12 Sb 3.66
Sb1 0.5000 0.0000 0.0000  2 Zn 2.59
Sb2 0.0000 0.0000 0.5000  2 Zn 2.59
Sb3 0.0000 0.5000 0.0000  2 Zn 2.59
Zn1 0.0000 0.0000 0.0000  6 Sb 2.59

- calculated volume (Å³/atom) = 27.82
- mass density (g cm⁻³) = 5.285
- raw formation energy (eV per atom) = 1.851
- energy relative to the lowest polymorph listed for this composition (eV/atom) = 0.868

In order of appearance, spin magnetization = 0.00, 0.00, 0.00, 1.06 μB/cell.